Record 1
Crystalline Y6In3Au at its relaxed geometry, computed with PBE-GGA.

POSCAR file:
```
Y6In3Au
1.0
5.1407 0.0000 0.0000
0.0000 9.4330 -3.0029
0.0000 -0.1256 11.4364
Y In Au
12 6 2
Direct
0.7500 0.7487 0.5124 Y
0.7500 0.1265 0.6536 Y
0.2500 0.2513 0.4876 Y
0.2500 0.6496 0.6920 Y
0.2500 0.4570 0.0924 Y
0.7500 0.8764 0.8447 Y
0.7500 0.8940 0.1414 Y
0.2500 0.1060 0.8586 Y
0.7500 0.3504 0.3080 Y
0.2500 0.8735 0.3464 Y
0.2500 0.1236 0.1553 Y
0.7500 0.5430 0.9076 Y
0.7500 0.2186 0.0131 In
0.2500 0.3701 0.7766 In
0.2500 0.5446 0.3909 In
0.7500 0.4554 0.6091 In
0.2500 0.7814 0.9869 In
0.7500 0.6299 0.2234 In
0.7500 0.0964 0.3830 Au
0.2500 0.9036 0.6170 Au
```

Crystal system: monoclinic
DFT formation energy, eV/atom: -0.463

Record 2
Crystalline Pm6P3PdS2 at its relaxed geometry, computed with PBE-GGA.

POSCAR file:
```
Pm6P3PdS2
1.0
-1.6025 3.4855 -1.4404
-7.3278 -3.7235 -0.8575
0.4819 1.5489 9.0407
Pm P S Pd
6 3 2 1
Direct
0.9993 0.2594 0.9986 Pm
0.3295 0.9182 0.6590 Pm
0.3336 0.4133 0.6673 Pm
0.6705 0.0818 0.3410 Pm
0.0007 0.7406 0.0014 Pm
0.6664 0.5867 0.3327 Pm
0.5000 0.5000 0.0000 P
0.8332 0.1675 0.6663 P
0.1668 0.8325 0.3337 P
0.8327 0.6658 0.6654 S
0.1673 0.3342 0.3346 S
0.5000 0.0000 0.0000 Pd
```

Crystal system: monoclinic
ΔE_f (raw), meV/atom: -1600